Below is crystalline BaWNO2 at its relaxed geometry, with properties calculated at the GGA+U level.

extended XYZ file:
```
5
Lattice="4.602 0.000 0.000 0.000 4.602 0.000 0.000 0.000 4.618" Properties=species:S:1:pos:R:3 pbc="T T T"
Ba 0.000 0.000 0.000
W 2.301 2.301 2.309
N 0.000 0.000 2.309
O 0.000 2.301 0.000
O 2.301 0.000 0.000
```

Output
The energy is -4.1228 eV/atom. The value obtained for the density is 6.2 g/cm3. The calculation puts the magnetization at 0.6 μB/f.u. The crystal system is tetragonal.